[1]
# CaCuMo2 PBE optimized geometry
data_CaCuMo2
_cell_length_a 6.498
_cell_length_b 6.498
_cell_length_c 6.498
_cell_angle_alpha 90.00
_cell_angle_beta 90.00
_cell_angle_gamma 90.00
_symmetry_space_group_name_H-M 'F -4 3 m'
_symmetry_Int_Tables_number 216
_symmetry_space_group_name_Hall 'F -4 2 3'
loop_
_atom_site_label
_atom_site_type_symbol
_atom_site_fract_x
_atom_site_fract_y
_atom_site_fract_z
_atom_site_occupancy
Ca1 Ca 0.000 0.000 0.000 1
Cu1 Cu 0.250 0.250 0.250 1
Mo1 Mo 0.000 0.000 0.500 1
Mo2 Mo 0.250 0.250 0.750 1
# **Theoretical density**: 7.15 g/cm³
# **E above lowest polymorph**: 243.3 meV/atom
# **Energy relative to the elements**: 13.45 kcal/mol of atoms
# **V**: 274.3 Å³/cell

[2]
# Ca2ReSi PBE optimized geometry
data_Ca2ReSi
_cell_length_a 4.245
_cell_length_b 4.245
_cell_length_c 4.489
_cell_angle_alpha 90.00
_cell_angle_beta 90.00
_cell_angle_gamma 90.00
_symmetry_space_group_name_H-M 'P 4/m m m'
_symmetry_Int_Tables_number 123
_symmetry_space_group_name_Hall '-P 4 2'
loop_
_atom_site_label
_atom_site_type_symbol
_atom_site_fract_x
_atom_site_fract_y
_atom_site_fract_z
_atom_site_occupancy
Ca1 Ca 0.000 0.500 0.000 1
Re1 Re 0.000 0.000 0.500 1
Si1 Si 0.500 0.500 0.500 1
# **Theoretical density**: 6.05 g/cm³
# **Formation energy (no corrections)**: 0.50 eV/atom
# **V**: 80.9 Å³/cell

[3]
# RbVB2Se PBE optimized geometry
data_RbVB2Se
_cell_length_a 4.636
_cell_length_b 4.636
_cell_length_c 4.621
_cell_angle_alpha 90.00
_cell_angle_beta 90.00
_cell_angle_gamma 90.00
_symmetry_space_group_name_H-M 'P 4/m m m'
_symmetry_Int_Tables_number 123
_symmetry_space_group_name_Hall '-P 4 2'
loop_
_atom_site_label
_atom_site_type_symbol
_atom_site_fract_x
_atom_site_fract_y
_atom_site_fract_z
_atom_site_occupancy
Rb1 Rb 0.000 0.000 0.000 1
V1 V 0.500 0.500 0.000 1
B1 B 0.000 0.500 0.500 1
Se1 Se 0.500 0.500 0.500 1
# **Theoretical density**: 3.96 g/cm³
# **Formation energy (no corrections)**: 1.82 eV/atom
# **V**: 99.3 Å³/cell

[4]
# BeZnCl2 PBE optimized geometry
data_BeZnCl2
_cell_length_a 3.039
_cell_length_b 3.039
_cell_length_c 8.129
_cell_angle_alpha 90.00
_cell_angle_beta 90.00
_cell_angle_gamma 90.00
_symmetry_space_group_name_H-M 'P 4 m m'
_symmetry_Int_Tables_number 99
loop_
_symmetry_equiv_pos_as_xyz
'x,y,z'
'-y,x,z'
'-x,-y,z'
'y,-x,z'
'-x,y,z'
'y,x,z'
'x,-y,z'
'-y,-x,z'
loop_
_atom_site_label
_atom_site_type_symbol
_atom_site_fract_x
_atom_site_fract_y
_atom_site_fract_z
_atom_site_occupancy
Be1 Be 0.000 0.000 0.000 1
Zn1 Zn 0.500 0.500 0.749 1
Cl1 Cl 0.000 0.000 0.564 1
Cl2 Cl 0.500 0.500 0.148 1
# **Theoretical density**: 3.22 g/cm³
# **E above lowest polymorph**: 568.6 meV/atom
# **Formation energy (no corrections)**: -0.09 eV/atom
# **V**: 75.1 Å³/cell

[5]
# CrPt4Rh3 PBE optimized geometry
data_CrPt4Rh3
_cell_length_a 18.357
_cell_length_b 2.684
_cell_length_c 5.209
_cell_angle_alpha 90.00
_cell_angle_beta 104.47
_cell_angle_gamma 90.00
_symmetry_space_group_name_H-M 'C 1 2/m 1'
_symmetry_Int_Tables_number 12
loop_
_symmetry_equiv_pos_as_xyz
'x,y,z'
'-x,-y,-z'
'-x,y,-z'
'x,-y,z'
'x+1/2,y+1/2,z'
'-x+1/2,-y+1/2,-z'
'-x+1/2,y+1/2,-z'
'x+1/2,-y+1/2,z'
loop_
_atom_site_label
_atom_site_type_symbol
_atom_site_fract_x
_atom_site_fract_y
_atom_site_fract_z
_atom_site_occupancy
Cr1 Cr 0.000 0.000 0.000 1
Pt1 Pt 0.116 0.500 0.908 1
Pt2 Pt 0.240 0.000 0.751 1
Rh1 Rh 0.000 0.500 0.500 1
Rh2 Rh 0.129 0.500 0.409 1
# **Theoretical density**: 15.25 g/cm³
# **Energy relative to the elements**: 3.98 kcal/mol of atoms
# **V**: 248.5 Å³/cell

[6]
# BiPt2Au PBE optimized geometry
data_BiPt2Au
_cell_length_a 4.218
_cell_length_b 4.218
_cell_length_c 4.289
_cell_angle_alpha 90.00
_cell_angle_beta 90.00
_cell_angle_gamma 90.00
_symmetry_space_group_name_H-M 'P 4/m m m'
_symmetry_Int_Tables_number 123
_symmetry_space_group_name_Hall '-P 4 2'
loop_
_atom_site_label
_atom_site_type_symbol
_atom_site_fract_x
_atom_site_fract_y
_atom_site_fract_z
_atom_site_occupancy
Bi1 Bi 0.000 0.000 0.000 1
Pt1 Pt 0.000 0.500 0.500 1
Au1 Au 0.500 0.500 0.000 1
# **Theoretical density**: 17.32 g/cm³
# **Energy relative to the elements**: 1.26 kcal/mol of atoms
# **V**: 76.3 Å³/cell

[7]
# CeScGe PBE optimized geometry
data_CeScGe
_cell_length_a 6.786
_cell_length_b 6.786
_cell_length_c 6.786
_cell_angle_alpha 90.00
_cell_angle_beta 90.00
_cell_angle_gamma 90.00
_symmetry_space_group_name_H-M 'F -4 3 m'
_symmetry_Int_Tables_number 216
_symmetry_space_group_name_Hall 'F -4 2 3'
loop_
_atom_site_label
_atom_site_type_symbol
_atom_site_fract_x
_atom_site_fract_y
_atom_site_fract_z
_atom_site_occupancy
Ce1 Ce 0.000 0.000 0.000 1
Sc1 Sc 0.000 0.000 0.500 1
Ge1 Ge 0.250 0.250 0.750 1
# **Theoretical density**: 5.48 g/cm³
# **Energy relative to the elements**: -9.27 kcal/mol of atoms
# **V**: 312.5 Å³/cell

[8]
# Sr2AcIn2Pb2 PBE optimized geometry
data_Sr2AcIn2Pb2
_cell_length_a 4.9239
_cell_length_b 4.9239
_cell_length_c 37.7684
_cell_angle_alpha 90.00
_cell_angle_beta 90.00
_cell_angle_gamma 120.00
_symmetry_space_group_name_H-M 'R -3 m'
_symmetry_Int_Tables_number 166
_symmetry_space_group_name_Hall '-R 3 2"'
loop_
_atom_site_label
_atom_site_type_symbol
_atom_site_fract_x
_atom_site_fract_y
_atom_site_fract_z
_atom_site_occupancy
Sr1 Sr 0.0000 0.0000 0.1252 1
Ac1 Ac 0.0000 0.0000 0.0000 1
In1 In 0.0000 0.0000 0.3828 1
Pb1 Pb 0.0000 0.0000 0.2539 1
# **Theoretical density**: 6.57 g/cm³
# **Energy relative to the elements**: -7.87 kcal/mol of atoms
# **V**: 793.0 Å³/cell

[9]
# ZrZn4Pd PBE optimized geometry
data_ZrZn4Pd
_cell_length_a 7.223
_cell_length_b 7.223
_cell_length_c 7.223
_cell_angle_alpha 90.00
_cell_angle_beta 90.00
_cell_angle_gamma 90.00
_symmetry_space_group_name_H-M 'F -4 3 m'
_symmetry_Int_Tables_number 216
_symmetry_space_group_name_Hall 'F -4 2 3'
loop_
_atom_site_label
_atom_site_type_symbol
_atom_site_fract_x
_atom_site_fract_y
_atom_site_fract_z
_atom_site_occupancy
Zr1 Zr 0.000 0.000 0.000 1
Zn1 Zn 0.125 0.125 0.625 1
Pd1 Pd 0.250 0.250 0.250 1
# **Theoretical density**: 8.10 g/cm³
# **E above lowest polymorph**: 102.8 meV/atom
# **Energy relative to the elements**: -5.65 kcal/mol of atoms
# **V**: 376.8 Å³/cell

[10]
# GeBi2Pt2 PBE optimized geometry
data_GeBi2Pt2
_cell_length_a 3.886
_cell_length_b 3.886
_cell_length_c 15.686
_cell_angle_alpha 90.00
_cell_angle_beta 90.00
_cell_angle_gamma 90.00
_symmetry_space_group_name_H-M 'I 4/m m m'
_symmetry_Int_Tables_number 139
_symmetry_space_group_name_Hall '-I 4 2'
loop_
_atom_site_label
_atom_site_type_symbol
_atom_site_fract_x
_atom_site_fract_y
_atom_site_fract_z
_atom_site_occupancy
Ge1 Ge 0.000 0.000 0.000 1
Bi1 Bi 0.000 0.000 0.384 1
Pt1 Pt 0.000 0.500 0.250 1
# **Theoretical density**: 12.35 g/cm³
# **E above lowest polymorph**: 329.6 meV/atom
# **Energy relative to the elements**: 1.28 kcal/mol of atoms
# **V**: 236.9 Å³/cell

[11]
# LaCd2Si PBE optimized geometry
data_LaCd2Si
_cell_length_a 7.819
_cell_length_b 4.524
_cell_length_c 6.289
_cell_angle_alpha 90.00
_cell_angle_beta 114.60
_cell_angle_gamma 90.00
_symmetry_space_group_name_H-M 'C 1 m 1'
_symmetry_Int_Tables_number 8
loop_
_symmetry_equiv_pos_as_xyz
'x,y,z'
'x,-y,z'
'x+1/2,y+1/2,z'
'x+1/2,-y+1/2,z'
loop_
_atom_site_label
_atom_site_type_symbol
_atom_site_fract_x
_atom_site_fract_y
_atom_site_fract_z
_atom_site_occupancy
La1 La 0.000 0.000 0.000 1
Cd1 Cd 0.024 0.500 0.573 1
Cd2 Cd 0.281 0.500 0.341 1
Si1 Si 0.233 0.000 0.701 1
# **Theoretical density**: 6.43 g/cm³
# **Formation energy (no corrections)**: -0.26 eV/atom
# **V**: 202.3 Å³/cell

[12]
# SrSnTe2I PBE optimized geometry
data_SrSnTe2I
_cell_length_a 6.167
_cell_length_b 6.167
_cell_length_c 6.093
_cell_angle_alpha 90.00
_cell_angle_beta 90.00
_cell_angle_gamma 90.00
_symmetry_space_group_name_H-M 'P 4/m m m'
_symmetry_Int_Tables_number 123
_symmetry_space_group_name_Hall '-P 4 2'
loop_
_atom_site_label
_atom_site_type_symbol
_atom_site_fract_x
_atom_site_fract_y
_atom_site_fract_z
_atom_site_occupancy
Sr1 Sr 0.000 0.000 0.000 1
Sn1 Sn 0.500 0.500 0.500 1
Te1 Te 0.000 0.500 0.000 1
I1 I 0.000 0.000 0.500 1
# **Theoretical density**: 4.22 g/cm³
# **E above lowest polymorph**: 454.3 meV/atom
# **Formation energy (no corrections)**: -0.09 eV/atom
# **V**: 231.8 Å³/cell

[13]
# Li2Tm2Cd3 PBE optimized geometry
data_Li2Tm2Cd3
_cell_length_a 3.901
_cell_length_b 23.520
_cell_length_c 3.404
_cell_angle_alpha 90.00
_cell_angle_beta 90.00
_cell_angle_gamma 90.00
_symmetry_space_group_name_H-M 'C m m m'
_symmetry_Int_Tables_number 65
_symmetry_space_group_name_Hall '-C 2 2'
loop_
_atom_site_label
_atom_site_type_symbol
_atom_site_fract_x
_atom_site_fract_y
_atom_site_fract_z
_atom_site_occupancy
Li1 Li 0.000 0.215 0.000 1
Tm1 Tm 0.000 0.080 0.000 1
Cd1 Cd 0.000 0.339 0.500 1
Cd2 Cd 0.000 0.500 0.500 1
# **Theoretical density**: 7.33 g/cm³
# **Energy relative to the elements**: -4.93 kcal/mol of atoms
# **V**: 312.3 Å³/cell